Here is TlWSe2 after structural relaxation from Alexandria. Energies are from PBE-GGA.

ΔE to the lowest computed polymorph in meV/atom: 351
Raw total energy in eV per atom: -5.424
Uncorrected formation energy in eV/atom: 0.148
Space group: No. 99

a b c (Å): 3.3352 3.3367 9.2226
angles (deg): 90.00 90.00 90.00
Fractional positions:
Se1 0.0000 0.0000 0.8511
Se2 0.5000 0.5000 0.2246
W1 0.5000 0.5000 0.9703
Tl1 0.0000 0.0000 0.4540



Here is Ni3PdSe6 after structural relaxation from Alexandria. Energies are from PBE-GGA.

ΔE to the lowest computed polymorph in meV/atom: 64
Raw total energy in eV per atom: -4.534
Uncorrected formation energy in eV/atom: -0.190
Space group: No. 2

a b c (Å): 6.2085 6.9544 6.0556
angles (deg): 55.87 79.08 74.26
Fractional positions:
Se1 0.1985 0.5745 0.2499
Se2 0.7435 0.2530 0.3425
Se3 0.6322 0.8768 0.2041
Se4 0.3678 0.1232 0.7959
Se5 0.2565 0.7470 0.6575
Se6 0.8015 0.4255 0.7501
Pd1 0.0000 0.0000 0.0000
Ni1 0.5000 0.0000 0.5000
Ni2 0.5000 0.5000 0.5000
Ni3 0.5000 0.5000 0.0000



Here is PmBe2Al after structural relaxation from Alexandria. Energies are from PBE-GGA.

ΔE to the lowest computed polymorph in meV/atom: 126
E_form in kJ/mol of formula units: 5
Raw total energy in eV per atom: -3.974
Space group: No. 225

a b c (Å): 4.4846 4.4846 4.4846
angles (deg): 60.00 60.00 60.00
Fractional positions:
Pm1 0.5000 0.5000 0.5000
Be1 0.7500 0.7500 0.7500
Be2 0.2500 0.2500 0.2500
Al1 0.0000 0.0000 0.0000



Here is SmEr2PuS4 after structural relaxation from Alexandria. Energies are from PBE-GGA.

Raw total energy in eV per atom: -7.537
Uncorrected formation energy in eV/atom: -1.951
Space group: No. 10

a b c (Å): 3.9029 6.7918 6.8218
angles (deg): 109.14 90.00 90.00
Fractional positions:
Er1 0.0000 0.5000 0.5000
Er2 0.5000 0.0000 0.5000
Pu1 0.5000 0.5000 0.0000
S1 0.5000 0.7442 0.7386
S2 0.0000 0.7512 0.2595
S3 0.5000 0.2558 0.2614
S4 0.0000 0.2488 0.7405
Sm1 0.0000 0.0000 0.0000



Here is TbPr3DyHo after structural relaxation from Alexandria. Energies are from PBE-GGA.

E_form in kJ/mol of formula units: 13
Raw total energy in eV per atom: -4.670
Space group: No. 63

a b c (Å): 5.1310 8.1206 10.2712
angles (deg): 90.00 90.00 108.42
Fractional positions:
Pr1 0.6647 0.3294 0.0007
Pr2 0.1656 0.3312 0.7500
Pr3 0.6647 0.3294 0.4993
Pr4 0.3353 0.6706 0.9993
Pr5 0.8344 0.6688 0.2500
Pr6 0.3353 0.6706 0.5007
Dy1 0.0000 0.0000 0.0000
Dy2 0.0000 0.0000 0.5000
Ho1 0.4988 0.9975 0.7500
Ho2 0.5012 0.0025 0.2500
Tb1 0.8354 0.6708 0.7500
Tb2 0.1646 0.3292 0.2500



Here is LaGa4AgAu2 after structural relaxation from Alexandria. Energies are from PBE-GGA.

E_form in kJ/mol of formula units: -278
Raw total energy in eV per atom: -3.666
Space group: No. 166

a b c (Å): 4.4642 4.4642 9.6131
angles (deg): 76.57 76.57 60.00
Fractional positions:
Au1 0.2438 0.2438 0.2685
Au2 0.7562 0.7562 0.7315
Ga1 0.3973 0.3973 0.8081
Ga2 0.1244 0.1244 0.6269
Ga3 0.6027 0.6027 0.1919
Ga4 0.8756 0.8756 0.3731
Ag1 0.5000 0.5000 0.5000
La1 0.0000 0.0000 0.0000



Here is Pa2Ga4CuAu3 after structural relaxation from Alexandria. Energies are from PBE-GGA.

E_form in kJ/mol of formula units: -318
Raw total energy in eV per atom: -4.833
Space group: No. 115

a b c (Å): 4.2450 4.2450 10.7291
angles (deg): 90.00 90.00 90.00
Fractional positions:
Pa1 0.5000 0.0000 0.2629
Pa2 0.0000 0.5000 0.7371
Ga1 0.0000 0.0000 0.0000
Ga2 0.5000 0.0000 0.6277
Ga3 0.5000 0.5000 0.0000
Ga4 0.0000 0.5000 0.3723
Au1 0.0000 0.5000 0.1426
Au2 0.0000 0.0000 0.5000
Au3 0.5000 0.0000 0.8574
Cu1 0.5000 0.5000 0.5000



Here is LiAg6Pd4 after structural relaxation from Alexandria. Energies are from PBE-GGA.

E_form in kJ/mol of formula units: 207
Raw total energy in eV per atom: -3.422
Space group: No. 121

a b c (Å): 6.4588 6.4587 6.9851
angles (deg): 117.54 117.54 90.00
Fractional positions:
Li1 0.5000 0.5000 0.0000
Ag1 0.5790 0.0854 0.6644
Ag2 0.9146 0.9146 0.3356
Ag3 0.0000 0.5000 0.0000
Ag4 0.0854 0.5790 0.6644
Ag5 0.5000 0.0000 0.0000
Ag6 0.4210 0.4210 0.3356
Pd1 0.2458 0.9450 0.1908
Pd2 0.0550 0.0550 0.8092
Pd3 0.9450 0.2458 0.1908
Pd4 0.7542 0.7542 0.8092



Here is Mg5Cu4 after structural relaxation from Alexandria. Energies are from PBE-GGA.

ΔE to the lowest computed polymorph in meV/atom: 2
E_form in kJ/mol of formula units: -31
Raw total energy in eV per atom: -2.742
Space group: No. 12

a b c (Å): 4.0858 5.1997 8.4764
angles (deg): 75.32 76.05 66.87
Fractional positions:
Mg1 0.8968 0.8147 0.3917
Mg2 0.7565 0.6592 0.8278
Mg3 0.1032 0.1853 0.6083
Mg4 0.0000 0.0000 0.0000
Mg5 0.2435 0.3408 0.1722
Cu1 0.4550 0.2418 0.8483
Cu2 0.3823 0.6205 0.6149
Cu3 0.5450 0.7582 0.1517
Cu4 0.6177 0.3795 0.3851



Here is CaPmCoCu after structural relaxation from Alexandria. Energies are from PBE-GGA.

E_form in kJ/mol of formula units: 21
Raw total energy in eV per atom: -4.435
Space group: No. 216

a b c (Å): 4.9117 4.9117 4.9117
angles (deg): 60.00 60.00 60.00
Fractional positions:
Pm1 0.0000 0.0000 0.0000
Ca1 0.5000 0.5000 0.5000
Cu1 0.2500 0.2500 0.2500
Co1 0.7500 0.7500 0.7500



| no. | density (kg/m³) |
| --- | --- |
| 1 | 8836 |
| 2 | 6036 |
| 3 | 4947 |
| 4 | 8331 |
| 5 | 7435 |
| 6 | 9554 |
| 7 | 11985 |
| 8 | 8133 |
| 9 | 3945 |
| 10 | 6095 |